(1)
Rb2SrAlSb2 (PBE, relaxed); DOS at the Fermi energy = 2.89 states/eV/f.u.; total moment = 0.0 μB per cell; formation energy (no corrections) = -453 meV per atom
1.0
-3.788 8.460 3.776
3.788 -8.460 3.776
3.788 8.460 -3.776
Rb Sr Al Sb
4 2 2 4
Direct
0.182 0.226 0.407
0.318 0.726 0.044
0.682 0.274 0.956
0.818 0.774 0.593
0.250 0.750 0.500
0.750 0.250 0.500
0.250 0.250 0.000
0.750 0.750 0.000
0.092 0.791 0.883
0.408 0.291 0.700
0.592 0.709 0.300
0.908 0.209 0.117


(2)
Y2PO2 (PBE, relaxed); DOS at the Fermi energy = 1.00 states/eV/f.u.; total moment = 0.0 μB per cell; energy relative to the lowest polymorph listed for this composition = 0.0000 eV per atom; formation energy (no corrections) = -2572 meV per atom
1.0
-1.887 1.887 6.324
1.887 -1.887 6.324
1.887 1.887 -6.324
Y P O
2 1 2
Direct
0.158 0.158 0.000
0.842 0.842 0.000
0.500 0.500 0.000
0.250 0.750 0.500
0.750 0.250 0.500


(3)
Pm5UN6 (PBE, relaxed); DOS at the Fermi energy = 5.56 states/eV/f.u.; total moment = 0.0 μB per cell; formation energy (no corrections) = -1493 meV per atom
1.0
3.093 -5.353 0.000
3.093 5.353 0.000
-2.062 0.000 5.824
Pm U N
5 1 6
Direct
0.000 0.000 0.000
0.166 0.834 0.500
0.333 0.667 0.000
0.667 0.333 0.000
0.834 0.166 0.500
0.500 0.500 0.500
0.121 0.423 0.269
0.274 0.274 0.733
0.423 0.121 0.269
0.577 0.879 0.731
0.726 0.726 0.267
0.879 0.577 0.731


(4)
LaTh2Nb (PBE, relaxed); DOS at the Fermi energy = 6.11 states/eV/f.u.; total moment = 0.8 μB per cell; energy relative to the lowest polymorph listed for this composition = 0.2673 eV per atom; DFT formation energy = 0.42 eV/atom
1.0
1.731 0.999 11.467
-1.731 0.999 11.467
0.000 -1.999 11.467
La Th Nb
1 2 1
Direct
0.000 0.000 0.000
0.096 0.096 0.096
0.904 0.904 0.904
0.500 0.500 0.500


(5)
CsMgP2Cl (PBE, relaxed); DOS at the Fermi energy = 2.16 states/eV/f.u.; total moment = 1.9 μB per cell; energy relative to the lowest polymorph listed for this composition = 0.0000 eV per atom; formation energy (no corrections) = -159 meV per atom
1.0
5.049 0.000 0.000
0.000 5.049 0.000
0.000 0.000 5.695
Cs Mg P Cl
1 1 2 1
Direct
0.000 0.000 0.000
0.500 0.500 0.500
0.000 0.500 0.500
0.500 0.000 0.500
0.500 0.500 0.000


(6)
Al2CuSb (PBE, relaxed); DOS at the Fermi energy = 1.35 states/eV/f.u.; total moment = 0.0 μB per cell; formation energy (no corrections) = 66 meV per atom
1.0
4.003 -1.546 0.000
4.003 1.546 0.000
-1.083 0.000 6.111
Al Cu Sb
2 1 1
Direct
0.234 0.234 0.183
0.766 0.766 0.817
0.500 0.500 0.000
0.000 0.000 0.500